[1]
An optimized crystal structure of LiMg2Pb3. Source: Alexandria, functional PBE.

Properties
E_form: -3.05 kcal/mol of atoms

Cell lengths 3.5557, 3.5557, 11.8892 Å; angles 90.00, 90.00, 90.00 degrees
Element x y z (fractional)
Mg1 0.5000 0.5000 0.1774
Mg2 0.5000 0.5000 0.8226
Li1 0.5000 0.5000 0.5000
Pb1 0.0000 0.0000 0.6553
Pb2 0.0000 0.0000 0.3447
Pb3 0.0000 0.0000 0.0000

***

[2]
An optimized crystal structure of ReI. Source: Alexandria, functional PBE.

Properties
Uncorrected formation energy: 841 meV/atom

Cell lengths 11.7997, 11.7997, 3.6885 Å; angles 90.00, 90.00, 90.00 degrees
Element x y z (fractional)
I1 0.9907 0.2441 0.5000
I2 0.7441 0.5093 0.0000
I3 0.0093 0.7559 0.5000
I4 0.4907 0.7441 0.0000
I5 0.2559 0.4907 0.0000
I6 0.5093 0.2559 0.0000
I7 0.2441 0.0093 0.5000
I8 0.7559 0.9907 0.5000
Re1 0.3009 0.7865 0.5000
Re2 0.1991 0.7135 0.0000
Re3 0.6991 0.2135 0.5000
Re4 0.2135 0.3009 0.5000
Re5 0.7135 0.8009 0.0000
Re6 0.2865 0.1991 0.0000
Re7 0.8009 0.2865 0.0000
Re8 0.7865 0.6991 0.5000

***

[3]
An optimized crystal structure of Ca2YH6. Source: Alexandria, functional PBE.

Cell lengths 5.6055, 5.6055, 5.6055 Å; angles 60.00, 60.00, 60.00 degrees
Element x y z (fractional)
H1 0.2670 0.7330 0.2670
H2 0.2670 0.2670 0.7330
H3 0.2670 0.7330 0.7330
H4 0.7330 0.7330 0.2670
H5 0.7330 0.2670 0.2670
H6 0.7330 0.2670 0.7330
Ca1 0.7500 0.7500 0.7500
Ca2 0.2500 0.2500 0.2500
Y1 0.0000 0.0000 0.0000

***

no.,spin magnetization (Bohr magnetons per cell),VASP energy (eV/atom)
1,0.000,-2.837
2,0.000,-6.158
3,0.000,-3.565